No. 1
# Ba3H6Ru, optimized geometry, DFT GGA-PBE
# - DFT total energy (Ha/atom) = -0.140
data_Ba3H6Ru
_chemical_formula_sum 'Ba18 H36 Ru6'
_cell_length_a 10.1258
_cell_length_b 10.1258
_cell_length_c 11.6890
_cell_angle_alpha 90.00
_cell_angle_beta 90.00
_cell_angle_gamma 120.00
_space_group_name_H-M_alt 'R -3'
_space_group_IT_number 148
_space_group_name_Hall '-R 3'
loop_
_atom_site_label
_atom_site_type_symbol
_atom_site_fract_x
_atom_site_fract_y
_atom_site_fract_z
Ba1 Ba 0.0454 0.2623 0.2056
H1 H 0.0026 0.1446 0.4169
H2 H 0.0276 0.1587 0.9213
Ru1 Ru 0.0000 0.0000 0.0000
Ru2 Ru 0.0000 0.0000 0.5000

No. 2
# BaH4Ru2, optimized geometry, DFT GGA-PBE
# - DFT total energy (Ha/atom) = -0.140
data_BaH4Ru2
_chemical_formula_sum 'Ba2 H8 Ru4'
_cell_length_a 4.831
_cell_length_b 4.831
_cell_length_c 10.814
_cell_angle_alpha 90.00
_cell_angle_beta 90.00
_cell_angle_gamma 90.00
_space_group_name_H-M_alt 'I 4/m m m'
_space_group_IT_number 139
_space_group_name_Hall '-I 4 2'
loop_
_atom_site_label
_atom_site_type_symbol
_atom_site_fract_x
_atom_site_fract_y
_atom_site_fract_z
Ba1 Ba 0.000 0.000 0.000
H1 H 0.000 0.000 0.234
H2 H 0.000 0.500 0.000
Ru1 Ru 0.000 0.000 0.391

No. 3
# Ba2HRu, optimized geometry, DFT GGA-PBE
# - ΔE to the lowest computed polymorph (meV per atom) = 0
data_Ba2HRu
_chemical_formula_sum 'Ba8 H4 Ru4'
_cell_length_a 6.083
_cell_length_b 6.083
_cell_length_c 13.370
_cell_angle_alpha 90.00
_cell_angle_beta 90.00
_cell_angle_gamma 90.00
_space_group_name_H-M_alt 'I -4 2 d'
_space_group_IT_number 122
_space_group_name_Hall 'I -4 2bw'
loop_
_atom_site_label
_atom_site_type_symbol
_atom_site_fract_x
_atom_site_fract_y
_atom_site_fract_z
Ba1 Ba 0.237 0.250 0.125
H1 H 0.000 0.000 0.000
Ru1 Ru 0.000 0.000 0.500